# YGa2Ir, relaxed, DFT PBE
data_YGa2Ir
_chemical_formula_sum 'Y1 Ga2 Ir1'
_cell_length_a 4.697
_cell_length_b 4.697
_cell_length_c 4.697
_cell_angle_alpha 60.00
_cell_angle_beta 60.00
_cell_angle_gamma 60.00
_symmetry_space_group_name_H-M 'P 1'
_symmetry_Int_Tables_number 1
loop_
_symmetry_equiv_pos_as_xyz
'x,y,z'
loop_
_atom_site_label
_atom_site_fract_x
_atom_site_fract_y
_atom_site_fract_z
Ga1 0.000 0.000 0.000
Ga2 0.750 0.750 0.750
Ir1 0.500 0.500 0.500
Y1 0.250 0.250 0.250
# VASP energy, eV/f.u.: -22.97
# SG: F-43m (216)
# Total moment, μB/cell: 0.0